A.
This record from Alexandria via LeMat-Bulk describes a relaxed structure of NaNbOs2. The functional is PBE.

Structure (CIF):
```
data_NaNbOs2
_symmetry_space_group_name_H-M 'I -4 2 d'
_symmetry_Int_Tables_number 122
_symmetry_space_group_name_Hall 'I -4 2bw'
_cell_length_a 7.345
_cell_length_b 7.345
_cell_length_c 5.379
_cell_angle_alpha 90.00
_cell_angle_beta 90.00
_cell_angle_gamma 90.00
loop_
_atom_site_label
_atom_site_fract_x
_atom_site_fract_y
_atom_site_fract_z
Na1 0.000 0.000 0.000
Nb1 0.000 0.000 0.500
Os1 0.220 0.250 0.625
```



B.
This record from Alexandria via LeMat-Bulk describes a relaxed structure of NaNbOs2. The functional is PBE.

Structure (CIF):
```
data_NaNbOs2
_symmetry_space_group_name_H-M 'F m -3 m'
_symmetry_Int_Tables_number 225
_symmetry_space_group_name_Hall '-F 4 2 3'
_cell_length_a 6.341
_cell_length_b 6.341
_cell_length_c 6.341
_cell_angle_alpha 90.00
_cell_angle_beta 90.00
_cell_angle_gamma 90.00
loop_
_atom_site_label
_atom_site_fract_x
_atom_site_fract_y
_atom_site_fract_z
Na1 0.000 0.000 0.000
Nb1 0.000 0.000 0.500
Os1 0.250 0.250 0.250
```



Least stable of them? A.



A.
This record from Alexandria via LeMat-Bulk describes a relaxed structure of NaNbP3. The functional is PBE.

Structure (CIF):
```
data_NaNbP3
_symmetry_space_group_name_H-M 'P m -3 m'
_symmetry_Int_Tables_number 221
_symmetry_space_group_name_Hall '-P 4 2 3'
_cell_length_a 4.619
_cell_length_b 4.619
_cell_length_c 4.619
_cell_angle_alpha 90.00
_cell_angle_beta 90.00
_cell_angle_gamma 90.00
loop_
_atom_site_label
_atom_site_fract_x
_atom_site_fract_y
_atom_site_fract_z
Na1 0.000 0.000 0.000
Nb1 0.500 0.500 0.500
P1 0.000 0.000 0.500
```



B.
This record from Alexandria via LeMat-Bulk describes a relaxed structure of NaNbP3. The functional is PBE.

Structure (CIF):
```
data_NaNbP3
_symmetry_space_group_name_H-M 'P m -3 m'
_symmetry_Int_Tables_number 221
_symmetry_space_group_name_Hall '-P 4 2 3'
_cell_length_a 4.863
_cell_length_b 4.863
_cell_length_c 4.863
_cell_angle_alpha 90.00
_cell_angle_beta 90.00
_cell_angle_gamma 90.00
loop_
_atom_site_label
_atom_site_fract_x
_atom_site_fract_y
_atom_site_fract_z
Na1 0.000 0.000 0.000
Nb1 0.500 0.500 0.500
P1 0.000 0.500 0.500
```



Least stable of them? A.